Entry 1:
Density functional theory data (PBE) for a geometry-optimized CsTlGe structure. Values from VASP.

Final energy (eV per atom): -2.521
Crystal system: orthorhombic

```
&SYSTEM
  ibrav = 0, nat = 12, ntyp = 3
/
ATOMIC_SPECIES
Cs 132.91 Cs.upf
Tl 204.38 Tl.upf
Ge 72.64 Ge.upf
ATOMIC_POSITIONS angstrom
Cs 2.952 1.843 0.436
Cs 3.976 5.529 2.768
Cs 9.880 1.843 1.895
Cs 10.904 5.529 4.227
Tl 0.000 0.000 2.332
Tl 0.000 3.686 2.332
Tl 6.928 0.000 0.000
Tl 6.928 3.686 0.000
Ge 0.844 5.529 0.480
Ge 6.084 1.843 2.812
Ge 7.772 5.529 1.851
Ge 13.012 1.843 4.183
CELL_PARAMETERS angstrom
13.856 0.000 0.000
0.000 7.372 0.000
0.000 0.000 4.664
```

Entry 2:
Density functional theory data (PBE) for a geometry-optimized CsTl2Ge2 structure. Values from VASP.

Distance to the lowest polymorph of the same formula (meV/atom): 138.2
Crystal system: tetragonal

```
&SYSTEM
  ibrav = 0, nat = 10, ntyp = 3
/
ATOMIC_SPECIES
Cs 132.91 Cs.upf
Tl 204.38 Tl.upf
Ge 72.64 Ge.upf
ATOMIC_POSITIONS angstrom
Cs 0.000 0.000 0.000
Cs 4.699 4.699 0.000
Tl 1.508 3.191 1.788
Tl 3.191 7.890 1.788
Tl 6.207 1.508 1.788
Tl 7.890 6.207 1.788
Ge 0.991 5.690 0.000
Ge 3.708 0.991 0.000
Ge 5.690 8.407 0.000
Ge 8.407 3.708 0.000
CELL_PARAMETERS angstrom
9.397 0.000 0.000
0.000 9.397 0.000
0.000 0.000 3.576
```

Entry 3:
Density functional theory data (PBE) for a geometry-optimized Cs3TlGe structure. Values from VASP.

Final energy (eV per atom): -2.003
Crystal system: monoclinic

```
&SYSTEM
  ibrav = 0, nat = 20, ntyp = 3
/
ATOMIC_SPECIES
Cs 132.91 Cs.upf
Tl 204.38 Tl.upf
Ge 72.64 Ge.upf
ATOMIC_POSITIONS angstrom
Cs 0.940 1.892 1.616
Cs -1.531 6.376 8.131
Cs -0.664 2.570 10.693
Cs 1.807 5.697 4.178
Cs 1.523 1.496 6.769
Cs 3.994 6.771 0.255
Cs 2.967 1.496 12.774
Cs 5.437 6.771 6.260
Cs 5.153 2.570 8.851
Cs 7.624 5.697 2.336
Cs 8.491 1.892 4.898
Cs 6.020 6.376 11.412
Tl 4.623 3.117 1.702
Tl 2.153 5.151 8.216
Tl 4.808 3.117 4.813
Tl 2.337 5.151 11.327
Ge 3.643 0.730 3.859
Ge 1.173 7.537 10.373
Ge 5.787 0.730 2.656
Ge 3.317 7.537 9.170
CELL_PARAMETERS angstrom
11.901 0.000 0.000
0.000 8.268 0.000
-4.941 0.000 13.029
```

Number 1: magnetic moment 0.0 μB per cell. Number 2: magnetic moment 0.0 μB per cell. Number 3: magnetic moment 0.0 μB per cell.